No. 1
# PBE Zr2AlP, optimized geometry
data_Zr2AlP
_chemical_formula_sum 'Zr2 Al1 P1'
_symmetry_space_group_name_H-M 'P 4 m m'
_symmetry_Int_Tables_number 99
_symmetry_space_group_name_Hall 'P 4 -2'
_cell_length_a 3.264
_cell_length_b 3.264
_cell_length_c 7.036
_cell_angle_alpha 90.00
_cell_angle_beta 90.00
_cell_angle_gamma 90.00
loop_
_atom_site_label
_atom_site_type_symbol
_atom_site_fract_x
_atom_site_fract_y
_atom_site_fract_z
Zr1 Zr 0.000 0.000 0.000
Zr2 Zr 0.500 0.500 0.337
Al1 Al 0.000 0.000 0.598
P1 P 0.500 0.500 0.778
# Calculated density ... 5.33 g cm⁻³
# Magnetization ... 0.0000 μB/atom
# Excess energy over the best structure of this formula in the dataset ... 440 meV/atom
# Crystal system ... tetragonal
# E_form ... -0.401 eV/atom


No. 2
# PBE Pr2PaBi3, optimized geometry
data_Pr2PaBi3
_chemical_formula_sum 'Pr32 Pa16 Bi48'
_symmetry_space_group_name_H-M 'F d d d'
_symmetry_Int_Tables_number 70
_cell_length_a 9.187
_cell_length_b 12.968
_cell_length_c 27.461
_cell_angle_alpha 90.00
_cell_angle_beta 90.00
_cell_angle_gamma 90.00
loop_
_symmetry_equiv_pos_as_xyz
'x,y,z'
'-x,-y,-z'
'-x+1/4,-y+1/4,z'
'x+1/4,y+1/4,-z'
'x,-y+1/4,-z+1/4'
'-x,y+1/4,z+1/4'
'-x+1/4,y,-z+1/4'
'x+1/4,-y,z+1/4'
'x,y+1/2,z+1/2'
'-x,-y+1/2,-z+1/2'
'-x+1/4,-y+3/4,z+1/2'
'x+1/4,y+3/4,-z+1/2'
'x,-y+3/4,-z+3/4'
'-x,y+3/4,z+3/4'
'-x+1/4,y+1/2,-z+3/4'
'x+1/4,-y+1/2,z+3/4'
'x+1/2,y,z+1/2'
'-x+1/2,-y,-z+1/2'
'-x+3/4,-y+1/4,z+1/2'
'x+3/4,y+1/4,-z+1/2'
'x+1/2,-y+1/4,-z+3/4'
'-x+1/2,y+1/4,z+3/4'
'-x+3/4,y,-z+3/4'
'x+3/4,-y,z+3/4'
'x+1/2,y+1/2,z'
'-x+1/2,-y+1/2,-z'
'-x+3/4,-y+3/4,z'
'x+3/4,y+3/4,-z'
'x+1/2,-y+3/4,-z+1/4'
'-x+1/2,y+3/4,z+1/4'
'-x+3/4,y+1/2,-z+1/4'
'x+3/4,-y+1/2,z+1/4'
loop_
_atom_site_label
_atom_site_type_symbol
_atom_site_fract_x
_atom_site_fract_y
_atom_site_fract_z
Pr1 Pr 0.125 0.125 0.043
Pr2 Pr 0.125 0.125 0.373
Pa1 Pa 0.125 0.125 0.541
Bi1 Bi 0.116 0.375 0.875
Bi2 Bi 0.121 0.371 0.710
# Calculated density ... 9.26 g cm⁻³
# Magnetization ... 0.1793 μB/atom
# Crystal system ... orthorhombic
# E_form ... -0.657 eV/atom


Copy entry 1 word for word.
# PBE Zr2AlP, optimized geometry
data_Zr2AlP
_chemical_formula_sum 'Zr2 Al1 P1'
_symmetry_space_group_name_H-M 'P 4 m m'
_symmetry_Int_Tables_number 99
_symmetry_space_group_name_Hall 'P 4 -2'
_cell_length_a 3.264
_cell_length_b 3.264
_cell_length_c 7.036
_cell_angle_alpha 90.00
_cell_angle_beta 90.00
_cell_angle_gamma 90.00
loop_
_atom_site_label
_atom_site_type_symbol
_atom_site_fract_x
_atom_site_fract_y
_atom_site_fract_z
Zr1 Zr 0.000 0.000 0.000
Zr2 Zr 0.500 0.500 0.337
Al1 Al 0.000 0.000 0.598
P1 P 0.500 0.500 0.778
# Calculated density ... 5.33 g cm⁻³
# Magnetization ... 0.0000 μB/atom
# Excess energy over the best structure of this formula in the dataset ... 440 meV/atom
# Crystal system ... tetragonal
# E_form ... -0.401 eV/atom